Density functional theory data (GGA-PBE) for crystalline Er3TlAg2 at its relaxed geometry.

## Properties
Symmetry: No. 123
E_form, eV/atom: -0.330

a = 3.593 Å, b = 3.593 Å, c = 11.395 Å
α = 90.00°, β = 90.00°, γ = 90.00°
Fractional positions:
Ag 0.500 0.500 0.160
Ag 0.500 0.500 0.840
Tl 0.500 0.500 0.500
Er 0.000 0.000 0.000
Er 0.000 0.000 0.319
Er 0.000 0.000 0.681